Record 1
DFT (PBE-GGA) results for a geometry-optimized LiZn3Si structure.

```
LiZn3Si
1.0
-2.0615 0.8675 3.8212
1.8645 -3.5805 1.8187
3.4464 2.4559 1.3018
Zn Si Li
3 1 1
Cartesian
0.9322 -1.7903 0.9094
1.7232 1.2280 0.6509
-1.0308 0.4337 1.9106
1.6247 -0.1286 3.4709
0.0000 0.0000 0.0000
```

Computed properties:
- Crystal system: cubic
- Calculated density: 4.42 g/cm3
- SG: Pm-3m, No. 221
- Distance to the lowest polymorph of the same formula: 0.275 eV per atom

---

Record 2
DFT (PBE-GGA) results for a geometry-optimized LiZnSi structure.

```
LiZnSi
1.0
6.3407 -0.0593 0.0610
5.7829 2.6007 0.0823
0.5578 0.0957 2.6583
Si Zn Li
1 1 1
Cartesian
4.4107 0.9104 1.8205
8.2982 1.7325 0.9752
12.0962 2.5356 0.1493
```

Computed properties:
- E_tot: -2.894 eV per atom
- Crystal system: tetragonal
- Calculated density: 3.74 g/cm3
- SG: I4mm, No. 107

---

Record 3
DFT (PBE-GGA) results for a geometry-optimized LiZn2Si structure.

```
LiZn2Si
1.0
-2.4327 3.7313 -1.4965
0.2354 -4.2396 -3.4337
-2.2615 -1.4060 0.4559
Si Zn Li
1 2 1
Cartesian
-1.0986 -0.2542 -2.4651
-2.3471 1.1626 -0.5203
0.0000 0.0000 0.0000
-1.0130 -2.8228 -1.4889
```

Computed properties:
- E_tot: -2.469 eV per atom
- Crystal system: monoclinic
- Calculated density: 4.60 g/cm3
- SG: C2/m, No. 12

---

Record 4
DFT (PBE-GGA) results for a geometry-optimized LiZn2Si structure.

```
LiZn2Si
1.0
2.6793 -0.0187 0.0000
-0.1021 2.6775 0.0000
0.0000 0.0000 8.3203
Zn Li Si
2 1 1
Cartesian
1.2886 1.3294 2.0996
0.0000 0.0000 0.0561
0.0000 0.0000 4.1315
1.2886 1.3294 6.1932
```

Computed properties:
- E_tot: -2.457 eV per atom
- Crystal system: orthorhombic
- Calculated density: 4.62 g/cm3
- SG: Cmm2, No. 35

---

Record 5
DFT (PBE-GGA) results for a geometry-optimized LiZn2Si structure.

```
LiZn2Si
1.0
-0.6063 3.0703 3.0107
-2.5262 0.6046 -1.1254
-2.1295 -3.4360 3.0752
Zn Li Si
2 1 1
Cartesian
-1.9110 0.4295 -0.8229
-2.9431 -1.2406 0.6724
-1.4671 0.8273 1.9928
-3.7950 -0.5884 2.9677
```

Computed properties:
- E_tot: -2.503 eV per atom
- Crystal system: monoclinic
- Calculated density: 4.41 g/cm3
- SG: P2/m, No. 10

---

Record 6
DFT (PBE-GGA) results for a geometry-optimized Li8Zn3Si2 structure.

```
Li8Zn3Si2
1.0
-2.1143 -3.9406 1.3142
2.7666 -1.9178 6.0187
-4.9526 1.7117 4.4832
Zn Li Si
3 8 2
Cartesian
-1.0571 -1.9703 0.6571
-2.8464 0.7214 4.9022
0.6604 -0.9275 5.5998
-4.2607 -0.5864 7.0343
-2.1013 -0.6043 9.1350
-0.0395 -3.5604 4.7819
-2.1989 -3.5424 2.6812
-4.1418 -1.6316 3.9659
-2.5048 -3.0511 5.3802
-1.7954 -1.0957 6.4359
-0.1585 -2.5152 7.8503
-2.9200 -2.8263 7.9988
-1.3802 -1.3205 3.8173
```

Computed properties:
- E_tot: -2.433 eV per atom
- Crystal system: monoclinic
- Calculated density: 2.56 g/cm3
- SG: C2/m, No. 12